Material: YPdI2
Method: DFT, GGA-PBE
State: relaxed

Unit cell a=5.2817 b=5.2817 c=5.2817 alpha=60.00 beta=60.00 gamma=60.00
With the nearest neighbours (Å) after each atom.
Sites, in units of the cell vectors:
I1 0.2500 0.2500 0.2500  4 Pd 3.23, 4 Y 3.23
Y1 0.0000 0.0000 0.0000  8 I 3.23
I2 0.7500 0.7500 0.7500  4 Pd 3.23, 4 Y 3.23
Pd1 0.5000 0.5000 0.5000  8 I 3.23

Properties
SG: Fm-3m, No. 225
formation energy (no corrections): -44.47 kJ/mol of atoms

Material: Ca2BeRhPb
Method: DFT, GGA-PBE
State: relaxed

Unit cell a=5.9152 b=4.3951 c=5.9152 alpha=90.00 beta=90.00 gamma=90.00
With the nearest neighbours (Å) after each atom.
Sites, in units of the cell vectors:
Be1 0.0000 0.5000 0.0000  2 Pb 2.20
Ca1 0.5000 0.0000 0.0000  2 Pb 2.96
Ca2 0.0000 0.0000 0.5000  2 Pb 2.96
Pb1 0.0000 0.0000 0.0000  2 Be 2.20
Rh1 0.5000 0.5000 0.5000  8 Ca 3.68

Properties
SG: P4/mmm, No. 123
DFT formation energy: 0.68 eV per atom

Material: Ni2PbCl
Method: DFT, GGA-PBE
State: relaxed

Unit cell a=3.9195 b=3.5542 c=6.0072 alpha=91.14 beta=90.00 gamma=90.00
With the nearest neighbours (Å) after each atom.
Sites, in units of the cell vectors:
Cl1 0.5000 0.9927 0.8566  3 Ni 2.19-2.40
Ni1 0.5000 0.0047 0.2567  1 Cl 2.40, 2 Ni 2.42
Pb1 0.0000 0.5078 0.3671  6 Ni 2.73-2.74
Ni2 0.0000 0.9948 0.0195  2 Cl 2.19, 2 Ni 2.42

Properties
SG: Pm, No. 6
formation energy (no corrections): 8.31 kJ/mol of atoms

Material: CuBP2Cl
Method: DFT, GGA-PBE
State: relaxed

Unit cell a=3.7905 b=7.3258 c=3.7905 alpha=90.00 beta=90.00 gamma=90.00
With the nearest neighbours (Å) after each atom.
Sites, in units of the cell vectors:
P1 0.0000 0.0000 0.5000  2 B 1.90
Cl1 0.0000 0.5000 0.0000  4 Cu 2.68
P2 0.5000 0.0000 0.0000  2 B 1.90
Cu1 0.5000 0.5000 0.5000  4 Cl 2.68
B1 0.0000 0.0000 0.0000  4 P 1.90

Properties
SG: P4/mmm, No. 123
formation energy (no corrections): 73.52 kJ/mol of atoms

Material: ScRhAu4
Method: DFT, GGA-PBE
State: relaxed

Unit cell a=5.4127 b=5.4127 c=5.4127 alpha=60.00 beta=60.00 gamma=60.00
With the nearest neighbours (Å) after each atom.
Sites, in units of the cell vectors:
Au1 0.8743 0.3752 0.3752  6 Au 2.70-2.71
Sc1 0.0000 0.0000 0.0000  12 Au 3.17, 4 Rh 3.31
Au2 0.3752 0.3752 0.3752  6 Au 2.70-2.71
Rh1 0.7500 0.7500 0.7500  12 Au 3.17, 4 Sc 3.31
Au3 0.3752 0.3752 0.8743  6 Au 2.70-2.71
Au4 0.3752 0.8743 0.3752  6 Au 2.70-2.71

Properties
SG: F-43m, No. 216
DFT formation energy: -0.16 eV per atom

Material: BaHgPdPb3
Method: DFT, GGA-PBE
State: relaxed

Unit cell a=6.9245 b=7.4017 c=8.3731 alpha=116.23 beta=90.00 gamma=90.00
With the nearest neighbours (Å) after each atom.
Sites, in units of the cell vectors:
Pb1 0.5000 0.7332 0.0000  2 Pd 2.85
Hg1 0.7500 0.6507 0.3014  5 Pb 3.16-3.33
Pb2 0.7500 0.8612 0.7225  1 Hg 3.16, 1 Pd 3.19, 4 Pb 3.35
Hg2 0.2500 0.3493 0.6986  5 Pb 3.16-3.33
Pb3 0.5000 0.2668 0.0000  2 Pd 2.85
Pd1 0.7500 0.0737 0.1474  5 Pb 2.85-3.19, 1 Ba 3.08
Ba1 0.2500 0.7210 0.4419  1 Pd 3.08
Pb4 0.2500 0.1388 0.2775  1 Hg 3.16, 1 Pd 3.19, 4 Pb 3.35
Pd2 0.2500 0.9263 0.8526  5 Pb 2.85-3.19, 1 Ba 3.08
Ba2 0.7500 0.2790 0.5581  1 Pd 3.08
Pb5 0.0000 0.7332 0.0000  2 Pd 2.85
Pb6 0.0000 0.2668 0.0000  2 Pd 2.85

Properties
SG: Cmcm, No. 63
DFT formation energy: -0.25 eV per atom

Material: TcBiBrO4
Method: DFT, GGA-PBE
State: relaxed

Unit cell a=6.5806 b=6.5806 c=7.1243 alpha=77.78 beta=77.78 gamma=67.02
With the nearest neighbours (Å) after each atom.
Sites, in units of the cell vectors:
Bi1 0.2161 0.2161 0.9087  4 O 2.39-2.48
Br1 0.0176 0.0176 0.2448  2 Bi 2.80-3.03
O1 0.7192 0.7192 0.4807  1 Tc 1.74
Tc1 0.3664 0.3664 0.2778  4 O 1.73-1.85
Tc2 0.6336 0.6336 0.7222  4 O 1.73-1.85
Bi2 0.7839 0.7839 0.0913  4 O 2.39-2.48
Br2 0.9824 0.9824 0.7552  2 Bi 2.80-3.03
O2 0.5136 0.8687 0.8644  1 Tc 1.85
O3 0.2808 0.2808 0.5193  1 Tc 1.74
O4 0.4706 0.4706 0.7688  1 Tc 1.73
O5 0.8687 0.5136 0.8644  1 Tc 1.85
O6 0.5294 0.5294 0.2312  1 Tc 1.73
O7 0.4864 0.1313 0.1356  1 Tc 1.85
O8 0.1313 0.4864 0.1356  1 Tc 1.85

Properties
SG: C2/m, No. 12
formation energy (no corrections): -112.94 kJ/mol of atoms

Material: MnMo2Pt
Method: DFT, GGA-PBE
State: relaxed

Unit cell a=4.4124 b=4.4124 c=4.4124 alpha=60.00 beta=60.00 gamma=60.00
With the nearest neighbours (Å) after each atom.
Sites, in units of the cell vectors:
Pt1 0.7500 0.7500 0.7500  4 Mn 2.70, 4 Mo 2.70
Mn1 0.5000 0.5000 0.5000  4 Pt 2.70, 4 Mo 2.70
Mo1 0.0000 0.0000 0.0000  4 Mo 2.70, 4 Pt 2.70
Mo2 0.2500 0.2500 0.2500  4 Mn 2.70, 4 Mo 2.70

Properties
SG: F-43m, No. 216
DFT formation energy: 0.04 eV per atom

Material: PmNd2Sm3Er6
Method: DFT, GGA-PBE
State: relaxed

Unit cell a=6.2111 b=6.2111 c=11.7495 alpha=95.04 beta=95.04 gamma=119.98
With the nearest neighbours (Å) after each atom.
Sites, in units of the cell vectors:
Er1 0.0839 0.4172 0.2510  3 Sm 3.55, 2 Nd 3.56-3.57, 1 Pm 3.57, 6 Er 3.58-3.59
Er2 0.4172 0.0839 0.2510  3 Sm 3.55, 2 Nd 3.56-3.57, 1 Pm 3.57, 6 Er 3.58-3.59
Er3 0.9161 0.5828 0.7490  3 Sm 3.55, 2 Nd 3.56-3.57, 1 Pm 3.57, 6 Er 3.58-3.59
Pm1 0.0000 0.0000 0.0000  6 Er 3.56-3.57, 6 Nd 3.59
Er4 0.2493 0.2493 0.7489  3 Sm 3.55, 1 Pm 3.56, 2 Nd 3.57, 6 Er 3.59
Nd1 0.6667 0.3333 0.0000  6 Er 3.56-3.57, 3 Nd 3.59, 3 Pm 3.59
Er5 0.5828 0.9161 0.7490  3 Sm 3.55, 2 Nd 3.56-3.57, 1 Pm 3.57, 6 Er 3.58-3.59
Sm1 0.8333 0.1667 0.5000  6 Er 3.55, 6 Sm 3.59
Er6 0.7507 0.7507 0.2511  3 Sm 3.55, 1 Pm 3.56, 2 Nd 3.57, 6 Er 3.59
Sm2 0.5000 0.5000 0.5000  6 Er 3.55, 6 Sm 3.59
Sm3 0.1667 0.8333 0.5000  6 Er 3.55, 6 Sm 3.59
Nd2 0.3333 0.6667 0.0000  6 Er 3.56-3.57, 3 Nd 3.59, 3 Pm 3.59

Properties
SG: C2/m, No. 12
DFT formation energy: 0.01 eV per atom

Material: LiTb3Pd4
Method: DFT, GGA-PBE
State: relaxed

Unit cell a=4.8928 b=4.8929 c=7.6188 alpha=108.80 beta=108.73 gamma=90.00
With the nearest neighbours (Å) after each atom.
Sites, in units of the cell vectors:
Tb1 0.0000 0.5000 0.0000  8 Pd 2.96
Pd1 0.6226 0.6225 0.2452  6 Tb 2.93-3.06, 2 Li 2.96
Pd2 0.8774 0.8771 0.7548  6 Tb 2.93-3.07, 2 Li 2.96
Tb2 0.7414 0.2414 0.4828  8 Pd 2.93-3.07, 1 Li 3.28
Li1 0.5000 0.0000 0.0000  8 Pd 2.96, 2 Tb 3.28
Tb3 0.2586 0.7586 0.5172  8 Pd 2.93-3.07, 1 Li 3.28
Pd3 0.3774 0.3775 0.7548  6 Tb 2.93-3.06, 2 Li 2.96
Pd4 0.1226 0.1229 0.2452  6 Tb 2.93-3.07, 2 Li 2.96

Properties
SG: C2/m, No. 12
DFT formation energy: -0.77 eV per atom

Material: Sr2Al3HgAu4
Method: DFT, GGA-PBE
State: relaxed

Unit cell a=4.5325 b=4.5325 c=11.0748 alpha=90.00 beta=90.00 gamma=90.00
With the nearest neighbours (Å) after each atom.
Sites, in units of the cell vectors:
Au1 0.5000 0.5000 0.0000  4 Al 2.61
Au2 0.0000 0.0000 0.0000  4 Al 2.61
Hg1 0.5000 0.5000 0.5000  4 Au 2.84
Au3 0.0000 0.5000 0.3453  1 Al 2.53
Sr1 0.0000 0.5000 0.7546  8 Au 3.39-3.54, 6 Al 3.51-3.62, 2 Hg 3.62
Al1 0.0000 0.5000 0.1166  5 Au 2.53-2.61
Al2 0.5000 0.0000 0.8834  5 Au 2.53-2.61
Au4 0.5000 0.0000 0.6547  1 Al 2.53
Sr2 0.5000 0.0000 0.2454  8 Au 3.39-3.54, 6 Al 3.51-3.62, 2 Hg 3.62
Al3 0.0000 0.0000 0.5000  4 Au 2.84

Properties
SG: P-4m2, No. 115
DFT formation energy: -0.57 eV per atom

Material: SnSbTeBr2
Method: DFT, GGA-PBE
State: relaxed

Unit cell a=5.4636 b=6.1065 c=5.4636 alpha=90.00 beta=90.00 gamma=90.00
With the nearest neighbours (Å) after each atom.
Sites, in units of the cell vectors:
Br1 0.0000 0.0000 0.5000  2 Te 2.73
Te1 0.0000 0.0000 0.0000  4 Br 2.73, 2 Sb 3.05
Br2 0.5000 0.0000 0.0000  2 Te 2.73
Sb1 0.0000 0.5000 0.0000  2 Te 3.05
Sn1 0.5000 0.5000 0.5000  4 Sb 3.86, 8 Br 4.10

Properties
SG: P4/mmm, No. 123
formation energy (no corrections): 25.63 kJ/mol of atoms

Summary of DFT total energy in eV per cell
-16.60; -15.41; -16.77; -19.63; -27.74; -40.03; -87.89; -36.73; -55.64; -42.74; -33.70; -13.28
(order as listed above)